Entry 1:
The following is a PBE-GGA calculation of a relaxed Si2SbAu crystal, from Alexandria.

```
Si2SbAu
1.0
3.3990 0.0000 0.0000
0.0000 3.3990 0.0000
0.0000 0.0000 7.4668
Si Sb Au
2 1 1
Direct
0.0000 0.0000 0.1812
0.5000 0.5000 0.0861
0.5000 0.5000 0.7305
0.0000 0.0000 0.5022
```

**Crystal system**: tetragonal
**Energy**: -17.248 eV per formula unit
**Fermi-level density of states**: 1.6 states/eV/cell

---

Entry 2:
The following is a PBE-GGA calculation of a relaxed Si2SbAu crystal, from Alexandria.

```
Si2SbAu
1.0
-0.5460 2.4958 1.4195
-1.2440 -1.8092 2.7025
6.9085 -0.2154 3.0360
Au Si Sb
1 2 1
Direct
0.0000 0.0000 0.4587
0.0000 0.0000 0.0610
0.5000 0.5000 0.2290
0.5000 0.5000 0.7513
```

**Crystal system**: orthorhombic
**Energy**: -16.719 eV per formula unit
**Fermi-level density of states**: 1.7 states/eV/cell

---

Entry 3:
The following is a PBE-GGA calculation of a relaxed SiSbAu2 crystal, from Alexandria.

```
SiSbAu2
1.0
-0.0984 3.0499 3.7718
0.0169 -1.7409 4.5284
3.9328 0.5353 2.7900
Si Sb Au
1 1 2
Direct
0.7500 0.7500 0.7500
0.5000 0.5000 0.5000
0.0000 0.0000 0.0000
0.2500 0.2500 0.2500
```

**Crystal system**: cubic
**Energy**: -14.751 eV per formula unit
**Fermi-level density of states**: 1.1 states/eV/cell
**E above lowest polymorph**: 301.7 meV per atom

---

Entry 4:
The following is a PBE-GGA calculation of a relaxed SiSb4Au crystal, from Alexandria.

```
SiSb4Au
1.0
0.0000 4.3304 4.3304
4.3304 0.0000 4.3304
4.3304 4.3304 0.0000
Au Sb Si
1 4 1
Direct
0.0000 0.0000 0.0000
0.8752 0.3749 0.3749
0.3749 0.3749 0.8752
0.3749 0.8752 0.3749
0.3749 0.3749 0.3749
0.7500 0.7500 0.7500
```

**Crystal system**: cubic
**Energy**: -21.139 eV per formula unit
**Fermi-level density of states**: 2.7 states/eV/cell

---

Entry 5:
The following is a PBE-GGA calculation of a relaxed Si2SbAu crystal, from Alexandria.

```
Si2SbAu
1.0
-3.9651 -2.4158 0.1360
1.6425 -0.3592 4.3301
-1.8572 3.1023 0.9618
Si Au Sb
2 1 1
Direct
0.5000 0.5000 0.0000
0.0000 0.0000 0.0000
0.5000 0.0000 0.5000
0.0000 0.5000 0.5000
```

**Crystal system**: orthorhombic
**Energy**: -16.307 eV per formula unit
**Fermi-level density of states**: 2.1 states/eV/cell

---

Entry 6:
The following is a PBE-GGA calculation of a relaxed Sr2Si2SbAu6 crystal, from Alexandria.

```
Sr2Si2SbAu6
1.0
-4.5925 -3.6767 -2.8990
0.7180 -6.5123 -0.2966
-5.4967 -4.2104 6.6290
Sb Au Si Sr
1 6 2 2
Direct
0.0000 0.0000 0.0000
0.2318 0.2318 0.7428
0.7682 0.2063 0.2572
0.7937 0.2318 0.7428
0.2318 0.7937 0.7428
0.7682 0.7682 0.2572
0.2063 0.7682 0.2572
0.5432 0.5432 0.3703
0.4568 0.4568 0.6298
0.2036 0.2036 0.3891
0.7964 0.7964 0.6109
```

**Crystal system**: trigonal
**Energy**: -41.865 eV per formula unit
**Fermi-level density of states**: 3.0 states/eV/cell

---

Number 1: E_form (uncorrected) 249 meV/atom, magnetic moment 0.00 μB per formula unit. Number 2: E_form (uncorrected) 382 meV/atom, magnetic moment 0.00 μB per formula unit. Number 3: E_form (uncorrected) 337 meV/atom, magnetic moment 0.00 μB per formula unit. Number 4: E_form (uncorrected) 675 meV/atom, magnetic moment 0.00 μB per formula unit. Number 5: E_form (uncorrected) 485 meV/atom, magnetic moment 0.00 μB per formula unit. Number 6: E_form (uncorrected) -352 meV/atom, magnetic moment 0.00 μB per formula unit.